[1]
Na3Br (GGA-PBE, optimized geometry); formation energy without anion corrections = -2.583 eV per formula unit; relative energy among the computed polymorphs = 0.0 meV/atom
1.0
3.825 0.000 0.000
0.000 3.904 0.000
0.000 0.000 9.784
Na Br
3 1
direct
0.000 0.500 0.474 Na
0.500 0.500 0.117 Na
0.500 0.000 0.748 Na
0.000 0.000 0.994 Br

[2]
TiVH3 (GGA-PBE, optimized geometry); relative energy among the computed polymorphs = 305.3 meV/atom
1.0
-1.468 0.795 2.970
2.724 -1.189 1.665
1.425 3.092 -0.123
H V Ti
3 1 1
direct
0.000 0.500 0.000 H
0.000 0.000 0.500 H
0.500 0.000 0.000 H
0.500 0.500 0.500 V
0.000 0.000 0.000 Ti

[3]
Tb4AgSn (GGA-PBE, optimized geometry); ΔE_f = -1.15 eV per formula unit
1.0
5.422 0.000 0.000
0.000 6.446 0.000
-2.711 0.000 10.526
Tb Ag Sn
8 2 2
direct
0.878 0.322 0.755 Tb
0.122 0.822 0.245 Tb
0.442 0.822 0.884 Tb
0.558 0.322 0.116 Tb
0.705 0.566 0.410 Tb
0.295 0.066 0.590 Tb
0.705 0.079 0.410 Tb
0.295 0.579 0.590 Tb
0.579 0.822 0.158 Ag
0.421 0.322 0.842 Ag
0.847 0.822 0.693 Sn
0.153 0.322 0.307 Sn

[4]
PuBeFe (GGA-PBE, optimized geometry); ΔE_f = 0.55 eV per formula unit; relative energy among the computed polymorphs = 78.0 meV/atom
1.0
2.463 0.000 0.000
0.000 2.463 0.000
-1.231 -1.231 6.212
Be Fe Pu
1 1 1
direct
0.314 0.314 0.629 Be
0.692 0.692 0.384 Fe
0.994 0.994 0.987 Pu

[5]
La2CdGaH (GGA-PBE, optimized geometry); relative energy among the computed polymorphs = 0.0 meV/atom
1.0
4.988 0.000 0.000
0.000 4.543 0.000
0.000 0.000 4.988
H Cd Ga La
1 1 1 2
direct
0.000 0.000 0.000 H
0.000 0.500 0.000 Cd
0.500 0.500 0.500 Ga
0.000 0.000 0.500 La
0.500 0.000 0.000 La

[6]
SrPmIn (GGA-PBE, optimized geometry); ΔE_f = -0.50 eV per formula unit; relative energy among the computed polymorphs = 159.4 meV/atom
1.0
3.895 0.000 0.000
0.000 5.515 0.000
0.000 -2.758 4.776
Sr In Pm
1 1 1
direct
0.020 0.000 0.000 Sr
0.393 0.667 0.333 In
0.587 0.333 0.667 Pm

[7]
CaTcPb (GGA-PBE, optimized geometry); ΔE_f = 1.69 eV per formula unit; relative energy among the computed polymorphs = 269.9 meV/atom
1.0
-4.220 -0.831 2.059
-1.422 -4.481 0.798
-0.188 -1.684 4.457
Pb Ca Tc
1 1 1
direct
0.500 0.500 0.500 Pb
0.000 0.000 0.000 Ca
0.750 0.750 0.750 Tc

[8]
BePIrO2 (GGA-PBE, optimized geometry); formation energy without anion corrections = 0.341 eV per formula unit; relative energy among the computed polymorphs = 270.1 meV/atom
1.0
3.702 0.000 0.000
0.000 3.702 0.000
0.000 0.000 5.331
P Ir O Be
1 1 2 1
direct
0.000 0.000 0.500 P
0.000 0.000 0.000 Ir
0.000 0.500 0.000 O
0.500 0.000 0.000 O
0.500 0.500 0.500 Be